VASP calculation (GGA-PBE) on an optimized crystal structure of Li6Tl5Pb.

Lattice parameters (Å, degrees): 15.3340 7.2012 4.8662 90.00 108.21 90.00
Closest atoms and distances in Å follow each position.
Space group C2/m (No. 12)
Inequivalent atoms, fractional coordinates:
Li: 0.0000 0.2491 0.0000  6 Tl 3.01-3.04, 2 Pb 3.03
Li: 0.1670 0.2507 0.6666  7 Tl 3.01-3.03, 1 Pb 3.02
Tl: 0.0000 0.0000 0.5000  8 Li 3.02-3.03
Tl: 0.1658 0.0000 0.1652  8 Li 3.01-3.03
Tl: 0.1676 0.5000 0.1677  8 Li 3.01-3.04
Pb: 0.0000 0.5000 0.5000  8 Li 3.02-3.03

- Uncorrected energy: -2.481 eV/atom
- Energy of formation: -0.23 eV/atom

=====

VASP calculation (GGA-PBE) on an optimized crystal structure of K2CoIr.

Lattice parameters (Å, degrees): 2.7943 5.4014 5.5426 90.00 100.07 90.00
Closest atoms and distances in Å follow each position.
Space group P2/m (No. 10)
Inequivalent atoms, fractional coordinates:
K: 0.0428 0.0000 0.2514  4 K 2.76-2.81
Co: 0.5000 0.5000 0.5000  2 Ir 2.77, 2 Co 2.79
Ir: 0.5000 0.5000 0.0000  2 Co 2.77, 2 Ir 2.79

- ΔE to the lowest computed polymorph: 2.43 eV per formula unit
- Uncorrected energy: -3.469 eV/atom
- Energy of formation: 1.07 eV/atom